a | Computed, not measured: TaCoTcPb after structural relaxation at the GGA-PBE level of DFT.

Computed properties:
Space-group type: F-43m (216)
Total magnetic moment (μB/f.u.): 2.65
Crystal system: cubic
Calculated density (g/cm3): 13.37

a b c (Å): 4.5743 4.5743 4.5743
angles (deg): 60.00 60.00 60.00
Element x y z (fractional)
Pb: 0.0000 0.0000 0.0000
Co: 0.7500 0.7500 0.7500
Tc: 0.5000 0.5000 0.5000
Ta: 0.2500 0.2500 0.2500

b | Computed, not measured: TaCoTcPb after structural relaxation at the GGA-PBE level of DFT.

Computed properties:
Space-group type: F-43m (216)
Total magnetic moment (μB/f.u.): 0.01
Crystal system: cubic
Calculated density (g/cm3): 13.78

a b c (Å): 4.5286 4.5286 4.5286
angles (deg): 60.00 60.00 60.00
Element x y z (fractional)
Tc: 0.2500 0.2500 0.2500
Pb: 0.0000 0.0000 0.0000
Ta: 0.5000 0.5000 0.5000
Co: 0.7500 0.7500 0.7500

Which of them is most stable, and which least? Most stable: b; least stable: a.

a | Computed, not measured: TbCo2Pb2 after structural relaxation at the GGA-PBE level of DFT.

Computed properties:
Space-group type: I4/mmm (139)
Total magnetic moment (μB/f.u.): 1.41
Crystal system: tetragonal
Calculated density (g/cm3): 10.84

a b c (Å): 6.3122 6.3122 6.3122
angles (deg): 139.31 139.31 58.90
Element x y z (fractional)
Tb: 0.0000 0.0000 0.0000
Pb: 0.3666 0.3666 0.0000
Pb: 0.6334 0.6334 0.0000
Co: 0.2500 0.7500 0.5000
Co: 0.7500 0.2500 0.5000

b | Computed, not measured: TbCo2Pb2 after structural relaxation at the GGA-PBE level of DFT.

Computed properties:
Space-group type: I4/mmm (139)
Total magnetic moment (μB/f.u.): 1.57
Crystal system: tetragonal
Calculated density (g/cm3): 11.09

a b c (Å): 6.0004 6.0004 6.0004
angles (deg): 135.83 135.83 64.24
Element x y z (fractional)
Pb: 0.7500 0.2500 0.5000
Pb: 0.2500 0.7500 0.5000
Co: 0.6071 0.6071 0.0000
Co: 0.3929 0.3929 0.0000
Tb: 0.0000 0.0000 0.0000

Which of them is most stable, and which least? Most stable: b; least stable: a.

a | Computed, not measured: YCoTcPb after structural relaxation at the GGA-PBE level of DFT.

Computed properties:
Space-group type: F-43m (216)
Total magnetic moment (μB/f.u.): 0.78
Crystal system: cubic
Calculated density (g/cm3): 10.24

a b c (Å): 4.7006 4.7006 4.7006
angles (deg): 59.99 59.99 59.99
Element x y z (fractional)
Pb: 0.0000 0.0000 0.0000
Co: 0.7500 0.7500 0.7500
Tc: 0.2500 0.2500 0.2500
Y: 0.5000 0.5000 0.5000

b | Computed, not measured: YCoTcPb after structural relaxation at the GGA-PBE level of DFT.

Computed properties:
Space-group type: F-43m (216)
Total magnetic moment (μB/f.u.): 3.86
Crystal system: cubic
Calculated density (g/cm3): 9.65

a b c (Å): 4.7942 4.7942 4.7942
angles (deg): 60.00 60.00 60.00
Element x y z (fractional)
Co: 0.7500 0.7500 0.7500
Pb: 0.0000 0.0000 0.0000
Y: 0.2500 0.2500 0.2500
Tc: 0.5000 0.5000 0.5000

Which of them is most stable, and which least? Most stable: a; least stable: b.

a | Computed, not measured: YCoPbW after structural relaxation at the GGA-PBE level of DFT.

Computed properties:
Space-group type: F-43m (216)
Total magnetic moment (μB/f.u.): 2.41
Crystal system: cubic
Calculated density (g/cm3): 11.52

a b c (Å): 4.7891 4.7891 4.7891
angles (deg): 60.00 60.00 60.00
Element x y z (fractional)
Y: 0.5000 0.5000 0.5000
W: 0.2500 0.2500 0.2500
Co: 0.7500 0.7500 0.7500
Pb: 0.0000 0.0000 0.0000

b | Computed, not measured: YCoPbW after structural relaxation at the GGA-PBE level of DFT.

Computed properties:
Space-group type: F-43m (216)
Total magnetic moment (μB/f.u.): 3.69
Crystal system: cubic
Calculated density (g/cm3): 11.45

a b c (Å): 4.7993 4.7993 4.7993
angles (deg): 60.00 60.00 60.00
Element x y z (fractional)
Y: 0.2500 0.2500 0.2500
W: 0.5000 0.5000 0.5000
Pb: 0.0000 0.0000 0.0000
Co: 0.7500 0.7500 0.7500

Which of them is most stable, and which least? Most stable: a; least stable: b.